A plane-wave DFT calculation with PBE was carried out for MgTeSI2 after structural relaxation.

Output
V	165	Å³ per cell
size of the total moment	0.00	μB/atom
formation energy (no corrections)	255	meV per atom
space-group type	No. 123

a b c (Å): 5.506 5.506 5.444
angles (deg): 90.00 90.00 90.00
Fractional positions:
Mg (0.000, 0.000, 0.000)
Te (0.500, 0.500, 0.000)
S (0.500, 0.500, 0.500)
I (0.000, 0.500, 0.500)
I (0.500, 0.000, 0.500)